TaTi3Rh6 (PBE, relaxed); SG = P2_1/m; crystal system = monoclinic; V = 299.8 Å³/cell; DFT formation energy = -0.697 eV per atom
1.0
8.2273 0.0000 0.0000
0.0000 4.0621 0.0000
-0.9707 0.0000 8.9702
Ta Ti Rh
2 6 12
Direct
0.0611 0.2500 0.3816
0.9389 0.7500 0.6184
0.2435 0.2500 0.0412
0.3381 0.7500 0.8229
0.4424 0.2500 0.6056
0.5576 0.7500 0.3944
0.6619 0.2500 0.1771
0.7565 0.7500 0.9588
0.0628 0.7500 0.9047
0.1575 0.2500 0.7105
0.1591 0.7500 0.2097
0.2552 0.7500 0.5151
0.3803 0.2500 0.3214
0.4725 0.7500 0.1075
0.5275 0.2500 0.8925
0.6197 0.7500 0.6786
0.7448 0.2500 0.4849
0.8409 0.2500 0.7903
0.8425 0.7500 0.2895
0.9372 0.2500 0.0953


PaCo2B3 (PBE, relaxed); SG = Cmcm; crystal system = orthorhombic; V = 124.9 Å³/cell; DFT formation energy = -0.462 eV per atom
1.0
4.1424 -3.0632 0.0000
4.1424 3.0632 0.0000
0.0000 0.0000 4.9197
Pa Co B
2 4 6
Direct
0.1573 0.8427 0.7500
0.8427 0.1573 0.2500
0.3175 0.3175 0.0000
0.3175 0.3175 0.5000
0.6825 0.6825 0.0000
0.6825 0.6825 0.5000
0.0300 0.6011 0.2500
0.3404 0.6596 0.2500
0.3989 0.9700 0.2500
0.6011 0.0300 0.7500
0.6596 0.3404 0.7500
0.9700 0.3989 0.7500


Mn2Tl3NiCl9 (PBE, relaxed); SG = P-3m1; formation energy (no corrections) = -913.4 meV/atom; crystal system = trigonal; V = 371.2 Å³/cell
1.0
7.0454 0.0000 0.0000
-3.5227 6.1015 0.0000
0.0000 0.0000 8.6342
Mn Tl Ni Cl
2 3 1 9
Direct
0.3333 0.6667 0.1714
0.6667 0.3333 0.8286
0.0000 0.0000 0.0000
0.3333 0.6667 0.6578
0.6667 0.3333 0.3422
0.0000 0.0000 0.5000
0.0000 0.5000 0.0000
0.1640 0.3279 0.3369
0.1640 0.8360 0.3369
0.3279 0.1640 0.6631
0.5000 0.0000 0.0000
0.5000 0.5000 0.0000
0.6721 0.8360 0.3369
0.8360 0.1640 0.6631
0.8360 0.6721 0.6631


Y3MgMn (PBE, relaxed); SG = Pm-3m; crystal system = cubic; V = 143.2 Å³/cell; DFT formation energy = 0.233 eV per atom
1.0
5.2314 0.0000 0.0000
0.0000 5.2314 0.0000
0.0000 0.0000 5.2314
Y Mg Mn
3 1 1
Direct
0.0000 0.0000 0.5000
0.0000 0.5000 0.0000
0.5000 0.0000 0.0000
0.5000 0.5000 0.5000
0.0000 0.0000 0.0000


Question: Number 2 is which compound?
Answer: PaCo2B3


Question: What is the V in the third record?
Answer: 371.2 Å³/cell